Entry 1:
Compound: AlAgAs2
Source: Alexandria via LeMat-Bulk
Functional: PBE
Structure: optimized geometry

Properties
DOS(E_F) = 1.9 states/eV/cell
ΔH_f (0 K) = 0.2320 eV/atom
size of the total moment = 0.0000 μB per atom
polymorph energy (0 for the lowest one) = 257 meV per atom
SG = I4/mmm, No. 139

Cell: 4.899 4.899 4.899 Å, 125.91 125.91 80.03°
Fractional positions:
As 0.500 0.500 0.000
As 0.000 0.000 0.000
Ag 0.750 0.250 0.500
Al 0.250 0.750 0.500

Entry 2:
Compound: AlAgAs
Source: Alexandria via LeMat-Bulk
Functional: PBE
Structure: optimized geometry

Properties
DOS(E_F) = 2.3 states/eV/cell
ΔH_f (0 K) = 0.0638 eV/atom
size of the total moment = 0.0000 μB per atom
polymorph energy (0 for the lowest one) = 43 meV per atom
SG = P4/nmm, No. 129

Cell: 4.406 4.406 6.103 Å, 90.00 90.00 90.00°
Fractional positions:
Al 0.500 0.500 0.500
As 0.500 0.000 0.746
Ag 0.500 0.000 0.185
As 0.000 0.500 0.254
Ag 0.000 0.500 0.815
Al 0.000 0.000 0.500

Entry 3:
Compound: AlAg2As
Source: Alexandria via LeMat-Bulk
Functional: PBE
Structure: optimized geometry

Properties
DOS(E_F) = 1.2 states/eV/cell
ΔH_f (0 K) = 0.0545 eV/atom
size of the total moment = 0.0000 μB per atom
polymorph energy (0 for the lowest one) = 0 meV per atom
SG = C2/m, No. 12

Cell: 4.778 4.778 5.397 Å, 79.09 79.09 36.74°
Fractional positions:
Al 0.250 0.250 0.250
Ag 0.993 0.993 0.020
Ag 0.507 0.507 0.480
As 0.750 0.750 0.750

Entry 4:
Compound: AlAgAs2
Source: Alexandria via LeMat-Bulk
Functional: PBE
Structure: optimized geometry

Properties
DOS(E_F) = 2.1 states/eV/cell
ΔH_f (0 K) = 0.1241 eV/atom
size of the total moment = 0.0000 μB per atom
polymorph energy (0 for the lowest one) = 149 meV per atom
SG = C2/m, No. 12

Cell: 6.160 6.160 2.830 Å, 59.55 59.55 74.83°
Fractional positions:
As 0.500 0.500 0.000
Al 0.000 0.500 0.500
Ag 0.500 0.000 0.500
As 0.000 0.000 0.000

> Which of these has the highest polymorph energy (0 for the lowest one)?

number 1

> Number 4 is which compound?

AlAgAs2

> Look up the ΔH_f (0 K) of the third one.

0.0545 eV/atom